[1]
This record from the Open Quantum Materials Database describes a relaxed structure of ZrAsO4. The functional is GGA-PBE.

## Properties
Size of the total moment, μB/f.u.: 0.270

Cell lengths 4.9414, 4.9414, 11.3033 Å; angles 90.00, 90.00, 120.00 degrees
Closest atoms and distances in Å follow each position.
Atoms (fractional coordinates):
Zr  0.0000  0.3863  0.1667  4 O 2.02-2.04
Zr  0.3863  0.0000  0.8333  4 O 2.02-2.04
Zr  0.6137  0.6137  0.5000  4 O 2.02-2.04
As  0.0000  0.3653  0.6667  4 O 1.82-1.86
As  0.3653  0.0000  0.3333  4 O 1.82-1.86
As  0.6347  0.6347  0.0000  4 O 1.82-1.86
O  0.0090  0.6140  0.5467  1 As 1.82, 1 Zr 2.02
O  0.0219  0.6727  0.0330  1 As 1.86, 1 Zr 2.04
O  0.3273  0.3492  0.3663  1 As 1.86, 1 Zr 2.04
O  0.3492  0.3273  0.6337  1 As 1.86, 1 Zr 2.04
O  0.3860  0.3950  0.8800  1 As 1.82, 1 Zr 2.02
O  0.3950  0.3860  0.1200  1 As 1.82, 1 Zr 2.02
O  0.6050  0.9910  0.2134  1 As 1.82, 1 Zr 2.02
O  0.6140  0.0090  0.4533  1 As 1.82, 1 Zr 2.02
O  0.6508  0.9781  0.6997  1 As 1.86, 1 Zr 2.04
O  0.6727  0.0219  0.9670  1 As 1.86, 1 Zr 2.04
O  0.9781  0.6508  0.3003  1 As 1.86, 1 Zr 2.04
O  0.9910  0.6050  0.7866  1 As 1.82, 1 Zr 2.02

[2]
This record from the Open Quantum Materials Database describes a relaxed structure of Ho3P2S. The functional is GGA-PBE.

## Properties
Size of the total moment, μB/f.u.: 0.002
ΔE to the lowest computed polymorph, eV/atom: 0.000

Cell lengths 6.8436, 6.8436, 6.8436 Å; angles 146.39, 131.86, 60.00 degrees
Closest atoms and distances in Å follow each position.
Atoms (fractional coordinates):
Ho  0.0000  0.0000  0.0000  4 P 2.79, 2 S 2.79
Ho  0.3293  0.3293  0.0000  4 P 2.77-2.79, 2 S 2.83
Ho  0.6707  0.6707  0.0000  4 P 2.77-2.79, 2 S 2.83
P  0.1657  0.6657  0.5000  6 Ho 2.77-2.79
P  0.8343  0.3343  0.5000  6 Ho 2.77-2.79
S  0.5000  0.0000  0.5000  6 Ho 2.79-2.83

[3]
This record from the Open Quantum Materials Database describes a relaxed structure of Ho2CoSi2. The functional is GGA-PBE.

## Properties
Size of the total moment, μB/f.u.: 0.004

Cell lengths 5.5369, 5.5369, 9.9745 Å; angles 116.06, 116.06, 43.84 degrees
Closest atoms and distances in Å follow each position.
Atoms (fractional coordinates):
Ho  0.0031  0.0031  0.3297  7 Si 2.90-3.15, 4 Co 2.99-3.06
Ho  0.1900  0.1900  0.1122  6 Si 2.87-3.06, 2 Co 3.08
Ho  0.8100  0.8100  0.8878  6 Si 2.87-3.06, 2 Co 3.08
Ho  0.9969  0.9969  0.6703  7 Si 2.90-3.15, 4 Co 2.99-3.06
Co  0.2747  0.2747  0.6442  4 Si 2.35-2.47
Co  0.7253  0.7253  0.3558  4 Si 2.35-2.47
Si  0.3448  0.3448  0.4387  3 Co 2.35-2.47
Si  0.4924  0.4924  0.1213  1 Co 2.43, 1 Si 2.50
Si  0.5076  0.5076  0.8787  1 Co 2.43, 1 Si 2.50
Si  0.6552  0.6552  0.5613  3 Co 2.35-2.47

[4]
This record from the Open Quantum Materials Database describes a relaxed structure of ErLuSnB. The functional is GGA-PBE.

## Properties
Size of the total moment, μB/f.u.: 0.012

Cell lengths 3.5960, 3.5960, 16.2248 Å; angles 90.00, 90.00, 120.00 degrees
Closest atoms and distances in Å follow each position.
Atoms (fractional coordinates):
Er  0.0000  0.0000  0.1586  3 B 2.57
Er  0.0000  0.0000  0.8414  3 B 2.57
Lu  0.3333  0.6667  0.3427  3 B 2.55
Lu  0.3333  0.6667  0.6573  3 B 2.55
Sn  0.0000  0.0000  0.5000  6 Lu 3.29, 6 Sn 3.60
Sn  0.3333  0.6667  0.0000  6 Er 3.31, 6 Sn 3.60
B  0.6667  0.3333  0.2519  3 Lu 2.55, 3 Er 2.57
B  0.6667  0.3333  0.7481  3 Lu 2.55, 3 Er 2.57

[5]
This record from the Open Quantum Materials Database describes a relaxed structure of TePdI7. The functional is GGA-PBE.

Cell lengths 7.2188, 7.4717, 18.1240 Å; angles 90.00, 111.53, 90.00 degrees
Closest atoms and distances in Å follow each position.
Atoms (fractional coordinates):
Te  0.0000  0.0411  0.0000  5 I 2.82-3.13
Te  0.0000  0.9589  0.5000  5 I 2.82-3.13
Pd  0.7410  0.4908  0.8554  4 I 2.61-2.63
Pd  0.7410  0.5092  0.3554  4 I 2.61-2.63
I  0.2455  0.2079  0.4496  1 Te 2.94, 1 I 3.23
I  0.2455  0.7921  0.9496  1 Te 2.94, 1 I 3.23
I  0.3334  0.2309  0.1040  1 Te 2.83
I  0.3334  0.7691  0.6040  1 Te 2.83
I  0.5568  0.2107  0.3593  1 Pd 2.61
I  0.5568  0.7893  0.8593  1 Pd 2.61
I  0.7098  0.3556  0.9842  1 Pd 2.63
I  0.7098  0.6444  0.4842  1 Pd 2.63
I  0.7499  0.3889  0.2203  1 Pd 2.63
I  0.7499  0.6111  0.7203  1 Pd 2.63
I  0.9162  0.1291  0.6228  1 Te 2.82
I  0.9162  0.8709  0.1228  1 Te 2.82
I  0.9745  0.2341  0.8435  1 Pd 2.61
I  0.9745  0.7659  0.3435  1 Pd 2.61

[6]
This record from the Open Quantum Materials Database describes a relaxed structure of AgHgMo2. The functional is GGA-PBE.

## Properties
Size of the total moment, μB/f.u.: 0.015
Energy relative to the elements, eV per formula unit: 2.88

Cell lengths 4.6249, 4.6249, 4.6249 Å; angles 60.00, 60.00, 60.00 degrees
Closest atoms and distances in Å follow each position.
Atoms (fractional coordinates):
Ag  0.0000  0.0000  0.0000  4 Hg 2.83, 4 Mo 2.83
Hg  0.7500  0.7500  0.7500  4 Mo 2.83, 4 Ag 2.83
Mo  0.2500  0.2500  0.2500  4 Mo 2.83, 4 Ag 2.83
Mo  0.5000  0.5000  0.5000  4 Hg 2.83, 4 Mo 2.83

| no. | E (eV per atom) |
| --- | --- |
| 1 | -7.304 |
| 2 | -6.590 |
| 3 | -6.192 |
| 4 | -5.220 |
| 5 | -2.196 |
| 6 | -5.485 |